# 1
{
  "formula": "Zn3AgIr",
  "functional": "GGA-PBE",
  "state": "relaxed",
  "e_form_ev_per_atom": 0.340,
  "relative_energy_ev_per_atom": 0.345,
  "e_tot_ev_per_atom": -2.767,
  "lattice": [[4.784, 0.000, 0.000], [0.000, 4.784, 0.000], [0.000, 0.000, 4.784]],
  "species": ["Zn", "Zn", "Zn", "Ag", "Ir"],
  "fractional_positions": [[0.000, 0.000, 0.500], [0.000, 0.500, 0.000], [0.500, 0.000, 0.000], [0.500, 0.500, 0.500], [0.000, 0.000, 0.000]]
}

# 2
{
  "formula": "ZnAg2Ir",
  "functional": "GGA-PBE",
  "state": "relaxed",
  "e_form_ev_per_atom": 0.151,
  "e_tot_ev_per_atom": -3.809,
  "lattice": [[1.399, 0.807, 9.398], [-1.399, 0.807, 9.398], [0.000, -1.615, 9.398]],
  "species": ["Zn", "Ag", "Ag", "Ir"],
  "fractional_positions": [[0.000, 0.000, 0.000], [0.252, 0.252, 0.252], [0.748, 0.748, 0.748], [0.500, 0.500, 0.500]]
}

# 3
{
  "formula": "Zn6AgIr",
  "functional": "GGA-PBE",
  "state": "relaxed",
  "e_form_ev_per_atom": -0.102,
  "relative_energy_ev_per_atom": 0.000,
  "e_tot_ev_per_atom": -2.521,
  "lattice": [[3.871, -5.566, 0.000], [3.871, 5.566, 0.000], [0.000, 0.000, 11.011]],
  "species": ["Zn", "Zn", "Zn", "Zn", "Zn", "Zn", "Zn", "Zn", "Zn", "Zn", "Zn", "Zn", "Zn", "Zn", "Zn", "Zn", "Zn", "Zn", "Zn", "Zn", "Zn", "Zn", "Zn", "Zn", "Ag", "Ag", "Ag", "Ag", "Ir", "Ir", "Ir", "Ir"],
  "fractional_positions": [[0.000, 0.000, 0.000], [0.000, 0.000, 0.500], [0.107, 0.363, 0.121], [0.107, 0.363, 0.879], [0.115, 0.362, 0.371], [0.115, 0.362, 0.629], [0.249, 0.751, 0.243], [0.249, 0.751, 0.757], [0.362, 0.115, 0.371], [0.362, 0.115, 0.629], [0.363, 0.107, 0.121], [0.363, 0.107, 0.879], [0.500, 0.500, 0.000], [0.500, 0.500, 0.500], [0.637, 0.893, 0.121], [0.637, 0.893, 0.879], [0.638, 0.885, 0.371], [0.638, 0.885, 0.629], [0.751, 0.249, 0.243], [0.751, 0.249, 0.757], [0.885, 0.638, 0.371], [0.885, 0.638, 0.629], [0.893, 0.637, 0.121], [0.893, 0.637, 0.879], [0.261, 0.739, 0.500], [0.500, 0.500, 0.247], [0.500, 0.500, 0.753], [0.739, 0.261, 0.500], [0.000, 0.000, 0.247], [0.000, 0.000, 0.753], [0.271, 0.729, 0.000], [0.729, 0.271, 0.000]]
}